# 1
VASP calculation (PBEsol) on MgTl2 after structural relaxation.

Unit cell a=3.169 b=5.383 c=5.383 alpha=120.00 beta=90.00 gamma=90.00
Fractional coordinates of all 3 atoms:
Tl: 0.000 0.333 0.667
Tl: 0.000 0.667 0.333
Mg: 0.500 0.000 0.000

Values from the calculation:
V: 79.5 Å³ per cell
Symmetry: P6/mmm
ΔE to the lowest computed polymorph: 85.1 meV/atom

# 2
VASP calculation (PBEsol) on Mg3Tl after structural relaxation.

Unit cell a=5.759 b=7.744 c=8.588 alpha=90.00 beta=90.00 gamma=90.00
Fractional coordinates of all 16 atoms:
Mg: 0.074 0.016 0.750
Mg: 0.574 0.484 0.250
Mg: 0.426 0.516 0.750
Mg: 0.926 0.984 0.250
Mg: 0.643 0.187 0.947
Mg: 0.143 0.313 0.053
Mg: 0.857 0.687 0.553
Mg: 0.357 0.813 0.447
Mg: 0.357 0.813 0.053
Mg: 0.857 0.687 0.947
Mg: 0.143 0.313 0.447
Mg: 0.643 0.187 0.553
Tl: 0.548 0.889 0.750
Tl: 0.048 0.611 0.250
Tl: 0.952 0.389 0.750
Tl: 0.452 0.111 0.250

Values from the calculation:
V: 383.0 Å³ per cell
Symmetry: Pnma

# 3
VASP calculation (PBEsol) on MgTl3 after structural relaxation.

Unit cell a=5.432 b=7.018 c=6.650 alpha=56.92 beta=90.00 gamma=90.00
Fractional coordinates of all 8 atoms:
Mg: 0.750 0.598 0.803
Mg: 0.250 0.402 0.197
Tl: 0.750 0.097 0.811
Tl: 0.750 0.102 0.305
Tl: 0.750 0.587 0.298
Tl: 0.250 0.903 0.189
Tl: 0.250 0.898 0.695
Tl: 0.250 0.413 0.702

Values from the calculation:
V: 212.4 Å³ per cell
Symmetry: P2_1/m

# 4
VASP calculation (PBEsol) on Mg3Tl after structural relaxation.

Unit cell a=4.474 b=4.474 c=4.474 alpha=90.00 beta=90.00 gamma=90.00
Fractional coordinates of all 4 atoms:
Tl: 0.000 0.000 0.000
Mg: 0.000 0.500 0.500
Mg: 0.500 0.000 0.500
Mg: 0.500 0.500 0.000

Values from the calculation:
V: 89.6 Å³ per cell
Symmetry: Pm-3m

# 5
VASP calculation (PBEsol) on MgTl2 after structural relaxation.

Unit cell a=3.282 b=5.077 c=5.077 alpha=90.00 beta=90.00 gamma=90.00
Fractional coordinates of all 3 atoms:
Tl: 0.500 0.000 0.500
Tl: 0.500 0.500 0.000
Mg: 0.000 0.000 0.000

Values from the calculation:
V: 84.6 Å³ per cell
Symmetry: P4/mmm
ΔE to the lowest computed polymorph: 104.2 meV/atom

# 6
VASP calculation (PBEsol) on Mg3Tl after structural relaxation.

Unit cell a=3.495 b=4.994 c=5.246 alpha=90.00 beta=90.00 gamma=90.00
Fractional coordinates of all 4 atoms:
Tl: 0.000 0.500 0.350
Mg: 0.000 0.000 0.982
Mg: 0.500 0.000 0.483
Mg: 0.500 0.500 0.852

Values from the calculation:
V: 91.6 Å³ per cell
Symmetry: Pmm2

In order of appearance, DFT formation energy = 0.04 -0.01 -0.01 -0.07 0.06 -0.04 eV per atom.